# K4Sb2O5, optimized geometry, DFT PBE
data_K4Sb2O5
_chemical_formula_sum 'K8 Sb4 O10'
_cell_length_a 6.463
_cell_length_b 3.946
_cell_length_c 18.787
_cell_angle_alpha 90.00
_cell_angle_beta 90.00
_cell_angle_gamma 90.00
_space_group_name_H-M_alt 'A m m 2'
_space_group_IT_number 38
loop_
_space_group_symop_operation_xyz
'x,y,z'
'-x,-y,z'
'-x,y,z'
'x,-y,z'
'x,y+1/2,z+1/2'
'-x,-y+1/2,z+1/2'
'-x,y+1/2,z+1/2'
'x,-y+1/2,z+1/2'
loop_
_atom_site_label
_atom_site_fract_x
_atom_site_fract_y
_atom_site_fract_z
K1 0.000 0.000 0.000
K2 0.000 0.000 0.334
K3 0.500 0.000 0.138
K4 0.500 0.000 0.474
Sb1 0.000 0.000 0.650
Sb2 0.500 0.000 0.822
O1 0.000 0.000 0.188
O2 0.229 0.000 0.582
O3 0.272 0.000 0.889
# Formation energy from raw total energies ... -1.4599 eV per atom
# Uncorrected energy ... -0.3574 Ry per atom